# 1
Entry from Alexandria: Rb2Cr2Br7 after structural relaxation (PBE).

a = 10.406 Å, b = 15.228 Å, c = 6.042 Å
α = 90.00°, β = 100.61°, γ = 90.00°
Space group C2/m (No. 12)
Asymmetric unit:
Rb: 0.000 0.199 0.000 (multiplicity 4)
Cr: 0.221 0.500 0.393 (multiplicity 4)
Br: 0.000 0.500 0.500 (multiplicity 2)
Br: 0.125 0.000 0.261 (multiplicity 4)
Br: 0.233 0.349 0.270 (multiplicity 8)

Its formation energy (no corrections) is -0.99 eV/atom. The value obtained for the total energy is -3.980 eV/atom.

# 2
Entry from Alexandria: PrTi2W after structural relaxation (PBE).

a = 3.273 Å, b = 3.273 Å, c = 7.811 Å
α = 90.00°, β = 90.00°, γ = 90.00°
Space group P4/mmm (No. 123)
Asymmetric unit:
Pr: 0.000 0.000 0.000 (multiplicity 1)
Ti: 0.500 0.500 0.317 (multiplicity 2)
W: 0.000 0.000 0.500 (multiplicity 1)

The calculation puts the formation energy at 0.160 eV/atom. The value obtained for the total energy is -8.221 eV/atom.

# 3
Entry from Alexandria: Rb3MoCl7 after structural relaxation (PBE).

a = 10.603 Å, b = 15.551 Å, c = 9.538 Å
α = 90.00°, β = 90.00°, γ = 90.00°
Space group C222_1 (No. 20)
Asymmetric unit:
Rb: 0.003 0.000 0.000 (multiplicity 4)
Rb: 0.232 0.273 0.750 (multiplicity 8)
Mo: 0.000 0.500 0.000 (multiplicity 4)
Cl: 0.000 0.140 0.250 (multiplicity 4)
Cl: 0.000 0.146 0.750 (multiplicity 4)
Cl: 0.000 0.448 0.750 (multiplicity 4)
Cl: 0.158 0.397 0.045 (multiplicity 8)
Cl: 0.159 0.397 0.455 (multiplicity 8)

Its formation energy (no corrections) is -1.42 eV/atom. The value obtained for the total energy is -3.840 eV/atom.

# 4
Entry from Alexandria: KPrCu2O4 after structural relaxation (PBE).

a = 3.938 Å, b = 3.938 Å, c = 7.315 Å
α = 90.00°, β = 90.00°, γ = 90.00°
Space group P4/mmm (No. 123)
Asymmetric unit:
K: 0.000 0.000 0.000 (multiplicity 1)
Pr: 0.000 0.000 0.500 (multiplicity 1)
Cu: 0.500 0.500 0.270 (multiplicity 2)
O: 0.000 0.500 0.289 (multiplicity 4)

Its formation energy (no corrections) is -1.60 eV/atom. The value obtained for the total energy is -5.838 eV/atom.